# 1
Zn3OsBr | PBE | relaxed

Results
space group: Pm-3m
relative energy among the computed polymorphs: 1.016 eV per atom
spin magnetization: 1.2 μB per formula unit
raw formation energy: 1682 meV/atom
mass density: 7.1 g/cm3

Unit cell a=4.7708 b=4.7708 c=4.7708 alpha=90.00 beta=90.00 gamma=90.00
Closest atoms and distances in Å follow each position.
Positions (direct):
Zn  0.0000  0.5000  0.0000  2 Br 2.39
Zn  0.0000  0.0000  0.5000  2 Br 2.39
Zn  0.5000  0.0000  0.0000  2 Br 2.39
Os  0.5000  0.5000  0.5000  12 Zn 3.37
Br  0.0000  0.0000  0.0000  6 Zn 2.39

=====

# 2
Rb2PuInCl5 | PBE | relaxed

Results
space group: P4/mmm
spin magnetization: 5.9 μB per formula unit
raw formation energy: -1571 meV/atom
mass density: 3.4 g/cm3

Unit cell a=5.4345 b=5.4345 c=11.7288 alpha=90.00 beta=90.00 gamma=90.00
Closest atoms and distances in Å follow each position.
Positions (direct):
Rb  0.5000  0.5000  0.2704  1 Cl 3.17
Rb  0.5000  0.5000  0.7296  1 Cl 3.17
Pu  0.0000  0.0000  0.5000  6 Cl 2.72-2.80
In  0.0000  0.0000  0.0000  2 Cl 3.06
Cl  0.0000  0.5000  0.5000  2 Pu 2.72
Cl  0.5000  0.0000  0.5000  2 Pu 2.72
Cl  0.0000  0.0000  0.7391  1 Pu 2.80, 1 In 3.06
Cl  0.0000  0.0000  0.2609  1 Pu 2.80, 1 In 3.06
Cl  0.5000  0.5000  0.0000  2 Rb 3.17

=====

# 3
Ca3Zn6Ge5 | PBE | relaxed

Results
space group: Pmmn
spin magnetization: 0.0 μB per formula unit
mass density: 5.3 g/cm3
ΔE_f: -0.33 eV/atom

Unit cell a=4.1621 b=10.6383 c=12.4981 alpha=90.00 beta=90.00 gamma=90.00
Closest atoms and distances in Å follow each position.
Positions (direct):
Ca  0.0000  0.2475  0.6674  6 Ge 3.10-3.27, 7 Zn 3.19-3.41
Ca  0.5000  0.7525  0.1674  6 Ge 3.10-3.27, 7 Zn 3.19-3.41
Ca  0.5000  0.7525  0.8326  6 Ge 3.10-3.27, 7 Zn 3.19-3.41
Ca  0.0000  0.2462  0.0000  6 Ge 3.14-3.35, 8 Zn 3.33-3.37
Ca  0.5000  0.7538  0.5000  6 Ge 3.14-3.35, 8 Zn 3.33-3.37
Ca  0.0000  0.2475  0.3326  6 Ge 3.10-3.27, 7 Zn 3.19-3.41
Zn  0.0000  0.9978  0.8384  4 Ge 2.59-2.62
Zn  0.5000  0.0022  0.6616  4 Ge 2.59-2.62
Zn  0.5000  0.3787  0.8252  4 Ge 2.51-2.62, 1 Zn 2.67
Zn  0.5000  0.5225  0.0000  2 Zn 2.67, 4 Ge 2.67
Zn  0.0000  0.4775  0.5000  2 Zn 2.67, 4 Ge 2.67
Zn  0.0000  0.6213  0.6748  4 Ge 2.51-2.62, 1 Zn 2.67
Zn  0.0000  0.6213  0.3252  4 Ge 2.51-2.62, 1 Zn 2.67
Zn  0.5000  0.9968  0.0000  4 Ge 2.60-2.65, 4 Zn 2.90
Zn  0.0000  0.9978  0.1616  4 Ge 2.59-2.62
Zn  0.5000  0.3787  0.1748  4 Ge 2.51-2.62, 1 Zn 2.67
Zn  0.0000  0.0032  0.5000  4 Ge 2.60-2.65, 4 Zn 2.90
Zn  0.5000  0.0022  0.3384  4 Ge 2.59-2.62
Ge  0.0000  0.5188  0.8656  5 Zn 2.61-2.67
Ge  0.0000  0.8575  0.6666  5 Zn 2.51-2.62
Ge  0.0000  0.8426  0.0000  4 Zn 2.61-2.65
Ge  0.5000  0.4812  0.6344  5 Zn 2.61-2.67
Ge  0.5000  0.1574  0.5000  4 Zn 2.61-2.65
Ge  0.0000  0.5188  0.1344  5 Zn 2.61-2.67
Ge  0.5000  0.4812  0.3656  5 Zn 2.61-2.67
Ge  0.0000  0.8575  0.3334  5 Zn 2.51-2.62
Ge  0.5000  0.1425  0.8334  5 Zn 2.51-2.62
Ge  0.5000  0.1425  0.1666  5 Zn 2.51-2.62

=====

# 4
CuReSi2 | PBE | relaxed

Results
space group: Cm
relative energy among the computed polymorphs: 0.052 eV per atom
spin magnetization: 0.0 μB per formula unit
raw formation energy: -89 meV/atom
mass density: 9.6 g/cm3

Unit cell a=4.5503 b=4.5503 c=4.1635 alpha=74.32 beta=74.32 gamma=40.10
Closest atoms and distances in Å follow each position.
Positions (direct):
Cu  0.4933  0.4933  0.5577  7 Si 2.41-2.65
Re  0.2642  0.2642  0.1760  7 Si 2.45-2.64
Si  0.9948  0.9948  0.0705  3 Re 2.45-2.47, 4 Cu 2.56-2.65
Si  0.7478  0.7478  0.6958  3 Cu 2.41-2.54, 4 Re 2.57-2.64

=====

# 5
Pr6Hg2CO | PBE | relaxed

Results
space group: Fm-3m
spin magnetization: 0.0 μB per formula unit
raw formation energy: -771 meV/atom
mass density: 8.0 g/cm3

Unit cell a=7.1992 b=7.1992 c=10.1799 alpha=90.00 beta=90.00 gamma=90.00
Closest atoms and distances in Å follow each position.
Positions (direct):
Pr  0.5000  0.2499  0.2514  1 C 2.53, 1 O 2.56
Pr  0.5000  0.2499  0.7486  1 C 2.53, 1 O 2.56
Pr  0.0000  0.7501  0.2486  1 C 2.53, 1 O 2.56
Pr  0.0000  0.7501  0.7514  1 C 2.53, 1 O 2.56
Pr  0.2515  0.0016  0.5000  1 C 2.53, 1 O 2.56
Pr  0.7485  0.0016  0.5000  1 C 2.53, 1 O 2.56
Pr  0.2516  0.4987  0.5000  1 C 2.53, 1 O 2.56
Pr  0.7484  0.4987  0.5000  1 C 2.53, 1 O 2.56
Pr  0.7516  0.5013  0.0000  1 C 2.53, 1 O 2.56
Pr  0.2484  0.5013  0.0000  1 C 2.53, 1 O 2.56
Pr  0.2485  0.9984  0.0000  1 C 2.53, 1 O 2.56
Pr  0.7515  0.9984  0.0000  1 C 2.53, 1 O 2.56
Hg  0.5000  0.7498  0.2500  12 Pr 3.60
Hg  0.0000  0.2502  0.7500  12 Pr 3.60
Hg  0.5000  0.7498  0.7500  12 Pr 3.60
Hg  0.0000  0.2502  0.2500  12 Pr 3.60
C  0.5000  0.2501  0.5000  6 Pr 2.53
C  0.0000  0.7499  0.0000  6 Pr 2.53
O  0.0000  0.7501  0.5000  6 Pr 2.56
O  0.5000  0.2499  0.0000  6 Pr 2.56

=====

# 6
GaPHPtS | PBE | relaxed

Results
space group: Cm
relative energy among the computed polymorphs: 0.039 eV per atom
spin magnetization: 0.0 μB per formula unit
mass density: 6.5 g/cm3

Unit cell a=6.3041 b=4.1862 c=6.8949 alpha=90.00 beta=111.62 gamma=90.00
Closest atoms and distances in Å follow each position.
Positions (direct):
Ga  0.9166  0.0000  0.4949  1 H 1.96
Ga  0.9166  0.5000  0.9949  1 H 1.96
P  0.4953  0.0000  0.7017  1 H 1.44
P  0.4953  0.5000  0.2017  1 H 1.44
H  0.2499  0.0000  0.6220  1 P 1.44
H  0.2499  0.5000  0.1220  1 P 1.44
Pt  0.5014  0.0000  0.3623  3 P 2.35-2.36, 1 Ga 2.43, 1 S 2.48
Pt  0.5014  0.5000  0.8623  3 P 2.35-2.36, 1 Ga 2.43, 1 S 2.48
S  0.0781  0.0000  0.2150  1 Pt 2.48, 3 Ga 2.49-2.57, 3 H 2.55-2.61
S  0.0781  0.5000  0.7150  1 Pt 2.48, 3 Ga 2.49-2.57, 3 H 2.55-2.61

=====

Please write out number 4 again, unchanged.
CuReSi2 | PBE | relaxed

Results
space group: Cm
relative energy among the computed polymorphs: 0.052 eV per atom
spin magnetization: 0.0 μB per formula unit
raw formation energy: -89 meV/atom
mass density: 9.6 g/cm3

Unit cell a=4.5503 b=4.5503 c=4.1635 alpha=74.32 beta=74.32 gamma=40.10
Closest atoms and distances in Å follow each position.
Positions (direct):
Cu  0.4933  0.4933  0.5577  7 Si 2.41-2.65
Re  0.2642  0.2642  0.1760  7 Si 2.45-2.64
Si  0.9948  0.9948  0.0705  3 Re 2.45-2.47, 4 Cu 2.56-2.65
Si  0.7478  0.7478  0.6958  3 Cu 2.41-2.54, 4 Re 2.57-2.64

=====

spin magnetization of number 6 (GaPHPtS)? 0.0 μB per formula unit

=====

Which formula does entry 5 have? Pr6Hg2CO

=====

What is the mass density in the second record? 3.4 g/cm3